# 1
KSiC3: relaxed, PBE-GGA.

Unit cell a=4.629 b=4.629 c=4.629 alpha=90.00 beta=90.00 gamma=90.00
Site moments in Bohr magnetons follow the coordinates.
Positions (direct):
Si1 0.500 0.500 0.500  -0.07
C1 0.000 0.000 0.500  0.45
K1 0.000 0.000 0.000  0.18
C2 0.500 0.000 0.000  0.67
C3 0.000 0.500 0.000  0.60

Properties
Its volume is 19.8 Å³/atom. The calculation puts the density of states at the Fermi level at 0.768 states/eV/atom. For the uncorrected energy, the calculation gives -0.089 Ha/atom. The calculation puts the formation energy without anion corrections at 4410 meV per atom. The space-group type is Pm-3m. The value obtained for the polymorph energy (0 for the lowest one) is 2.471 eV/atom.

---

# 2
K2SiTeC: relaxed, PBE-GGA.

Unit cell a=6.314 b=3.496 c=6.314 alpha=90.00 beta=90.00 gamma=90.00
Positions (direct):
Si1 0.000 0.500 0.000
K1 0.000 0.000 0.500
Te1 0.500 0.500 0.500
C1 0.000 0.000 0.000
K2 0.500 0.000 0.000

Properties
Its volume is 27.9 Å³/atom. The calculation puts the density of states at the Fermi level at 0.479 states/eV/atom. For the uncorrected energy, the calculation gives -0.144 Ha/atom. The calculation puts the formation energy without anion corrections at 90 meV per atom. The space-group type is P4/mmm.